Compound: CSe
Source: Alexandria
Functional: GGA-PBE
Structure: optimized geometry

The polymorph energy (0 for the lowest one) comes out at 110.5 kJ per mole of atoms. The calculation puts the magnetization at 0.0 μB per formula unit. As for the uncorrected formation energy: 318 kJ/mol of formula units.

It has space group R-3m (No. 166, hexagonal axes), with a = 3.1404 Å, b = 3.1404 Å, c = 23.3416 Å, α = 90.00°, β = 90.00° and γ = 120.00°. The asymmetric unit holds C at (0.0000, 0.0000, 0.1265) and Se at (0.0000, 0.0000, 0.4172).